Entry 1:
A plane-wave DFT calculation with PBE-GGA was carried out for a relaxed structure of PuThNi.

- space-group type = P2_1/m (11)
- calculated total energy (eV/cell) = -55.665
- total moment (μB per cell) = 0.00
- energy of formation (meV/atom) = -100

Cell: 5.669 3.925 5.955 Å, 90.00 111.64 90.00°
Atoms (fractional coordinates):
Pu 0.032 0.250 0.405
Pu 0.968 0.750 0.595
Th 0.466 0.750 0.241
Th 0.534 0.250 0.759
Ni 0.100 0.250 0.938
Ni 0.900 0.750 0.062



Entry 2:
A plane-wave DFT calculation with PBE-GGA was carried out for a relaxed structure of KNbCdFeBr.

- space-group type = Pm (6)
- calculated total energy (eV/cell) = -22.580
- total moment (μB per cell) = 0.85
- uncorrected formation energy (eV per atom) = -0.0724

Cell: 3.247 3.323 10.486 Å, 90.00 98.09 90.00°
Atoms (fractional coordinates):
K 0.000 0.000 0.000
Nb 0.159 0.500 0.438
Cd 0.366 0.500 0.725
Fe 0.812 0.000 0.553
Br 0.596 0.500 0.218



Entry 3:
A plane-wave DFT calculation with PBE-GGA was carried out for a relaxed structure of K2CrPdRu.

- space-group type = P4/mmm (123)
- calculated total energy (eV/cell) = -20.058
- total moment (μB per cell) = 2.66
- energy of formation (meV/atom) = 1246

Cell: 6.155 6.155 4.428 Å, 90.00 90.00 90.00°
Atoms (fractional coordinates):
K 0.000 0.500 0.000
K 0.500 0.000 0.000
Cr 0.000 0.000 0.500
Pd 0.500 0.500 0.500
Ru 0.000 0.000 0.000



Entry 4:
A plane-wave DFT calculation with PBE-GGA was carried out for a relaxed structure of Th2Zn16Ni.

- space-group type = R3m (160)
- calculated total energy (eV/cell) = -45.365
- total moment (μB per cell) = 0.00
- energy of formation (meV/atom) = -229

Cell: 6.819 6.819 6.819 Å, 82.85 82.85 82.85°
Atoms (fractional coordinates):
Th 0.000 0.000 0.000
Th 0.329 0.329 0.329
Zn 0.013 0.013 0.503
Zn 0.013 0.503 0.013
Zn 0.170 0.657 0.657
Zn 0.313 0.313 0.818
Zn 0.313 0.818 0.313
Zn 0.375 0.660 0.946
Zn 0.375 0.946 0.660
Zn 0.503 0.013 0.013
Zn 0.657 0.170 0.657
Zn 0.657 0.657 0.170
Zn 0.660 0.375 0.946
Zn 0.660 0.946 0.375
Zn 0.756 0.756 0.756
Zn 0.818 0.313 0.313
Zn 0.946 0.375 0.660
Zn 0.946 0.660 0.375
Ni 0.554 0.554 0.554